Entry 1:
DFT (PBE-GGA) results for a geometry-optimized Al4FeTc2 structure.

Properties
- ΔH_f (0 K) (meV per atom) = 448
- DOS at the Fermi energy (states/eV per cell) = 5.86
- space-group type = I4/mmm, No. 139
- crystal system = tetragonal

abc: 6.973 6.973 6.973
angles: 143.53 143.53 52.53
Fractional positions:
Al (0.000, 0.500, 0.500)
Al (0.187, 0.187, 0.000)
Al (0.500, 0.000, 0.500)
Al (0.813, 0.813, 0.000)
Fe (0.000, 0.000, 0.000)
Tc (0.389, 0.389, 0.000)
Tc (0.611, 0.611, 0.000)

=====

Entry 2:
DFT (PBE-GGA) results for a geometry-optimized Al8Fe2Tc structure.

Properties
- ΔH_f (0 K) (meV per atom) = -361
- DOS at the Fermi energy (states/eV per cell) = 3.04
- space-group type = P1, No. 1
- crystal system = triclinic

abc: 4.967 5.038 6.653
angles: 105.09 96.89 98.90
Fractional positions:
Al (0.000, 0.000, 0.000)
Al (0.028, 0.234, 0.433)
Al (0.190, 0.579, 0.168)
Al (0.438, 0.784, 0.832)
Al (0.500, 0.003, 0.484)
Al (0.571, 0.239, 0.157)
Al (0.808, 0.432, 0.813)
Al (0.965, 0.771, 0.544)
Fe (0.496, 0.509, 0.489)
Fe (0.709, 0.758, 0.176)
Tc (0.286, 0.255, 0.804)

=====

Entry 3:
DFT (PBE-GGA) results for a geometry-optimized AlFeTc2 structure.

Properties
- ΔH_f (0 K) (meV per atom) = -5
- DOS at the Fermi energy (states/eV per cell) = 4.96
- space-group type = P4/mmm, No. 123
- crystal system = tetragonal

abc: 3.745 3.745 3.942
angles: 90.00 90.00 90.00
Fractional positions:
Al (0.000, 0.000, 0.000)
Fe (0.500, 0.500, 0.000)
Tc (0.000, 0.500, 0.500)
Tc (0.500, 0.000, 0.500)

=====

Entry 4:
DFT (PBE-GGA) results for a geometry-optimized AlFe2Tc structure.

Properties
- ΔH_f (0 K) (meV per atom) = 470
- DOS at the Fermi energy (states/eV per cell) = 10.24
- space-group type = I-42d, No. 122
- crystal system = tetragonal

abc: 5.369 5.369 5.369
angles: 102.84 102.84 123.75
Fractional positions:
Al (0.000, 0.000, 0.000)
Al (0.750, 0.250, 0.500)
Fe (0.134, 0.125, 0.509)
Fe (0.375, 0.866, 0.991)
Fe (0.616, 0.625, 0.491)
Fe (0.875, 0.384, 0.009)
Tc (0.250, 0.750, 0.500)
Tc (0.500, 0.500, 0.000)

=====

Entry 5:
DFT (PBE-GGA) results for a geometry-optimized AlFe2Tc structure.

Properties
- ΔH_f (0 K) (meV per atom) = -120
- DOS at the Fermi energy (states/eV per cell) = 4.18
- space-group type = F-43m, No. 216
- crystal system = cubic

abc: 4.152 4.152 4.152
angles: 60.00 60.00 60.00
Fractional positions:
Al (0.000, 0.000, 0.000)
Fe (0.500, 0.500, 0.500)
Fe (0.750, 0.750, 0.750)
Tc (0.250, 0.250, 0.250)

=====

Entry 6:
DFT (PBE-GGA) results for a geometry-optimized AlFe2Tc structure.

Properties
- ΔH_f (0 K) (meV per atom) = 10
- DOS at the Fermi energy (states/eV per cell) = 3.41
- space-group type = R-3m, No. 166
- crystal system = trigonal

abc: 8.481 8.481 8.481
angles: 18.06 18.06 18.06
Fractional positions:
Al (0.000, 0.000, 0.000)
Fe (0.251, 0.251, 0.251)
Fe (0.749, 0.749, 0.749)
Tc (0.500, 0.500, 0.500)

=====

Entry 7:
DFT (PBE-GGA) results for a geometry-optimized AlFeTc structure.

Properties
- ΔH_f (0 K) (meV per atom) = -87
- DOS at the Fermi energy (states/eV per cell) = 2.77
- space-group type = P3m1, No. 156
- offset from the most stable computed form (meV/atom) = 177.6
- crystal system = trigonal

abc: 4.088 4.088 2.687
angles: 90.00 90.00 120.00
Fractional positions:
Al (0.000, 0.000, 0.000)
Fe (0.333, 0.667, 0.225)
Tc (0.667, 0.333, 0.580)

=====

Entry 8:
DFT (PBE-GGA) results for a geometry-optimized Al2Fe2Tc structure.

Properties
- ΔH_f (0 K) (meV per atom) = -42
- DOS at the Fermi energy (states/eV per cell) = 6.48
- space-group type = P4/mbm, No. 127
- offset from the most stable computed form (meV/atom) = 14.7
- crystal system = tetragonal

abc: 7.186 7.186 2.567
angles: 90.00 90.00 90.00
Fractional positions:
Al (0.182, 0.318, 0.000)
Al (0.318, 0.818, 0.000)
Al (0.682, 0.182, 0.000)
Al (0.818, 0.682, 0.000)
Fe (0.115, 0.615, 0.500)
Fe (0.385, 0.115, 0.500)
Fe (0.615, 0.885, 0.500)
Fe (0.885, 0.385, 0.500)
Tc (0.000, 0.000, 0.500)
Tc (0.500, 0.500, 0.500)